No. 1
Entry from Alexandria: a relaxed ZnAg3Pb crystal (PBE-GGA).

ΔE_f = 0.333 eV/atom
Space-group type = Pm-3m (221)

Cell and atoms, written as POSCAR:
```
ZnAg3Pb
1.0
4.901 0.000 0.000
0.000 4.901 0.000
0.000 0.000 4.901
Zn Ag Pb
1 3 1
Direct
0.000 0.000 0.000
0.000 0.000 0.500
0.000 0.500 0.000
0.500 0.000 0.000
0.500 0.500 0.500
```

No. 2
Entry from Alexandria: a relaxed MnNbCrSb crystal (PBE-GGA).

Space-group type = F-43m (216)
Formation energy without anion corrections = 25 kJ/mol of formula units

Cell and atoms, written as POSCAR:
```
MnNbCrSb
1.0
0.000 3.105 3.105
3.105 0.000 3.105
3.105 3.105 0.000
Mn Nb Cr Sb
1 1 1 1
Direct
0.000 0.000 0.000
0.750 0.750 0.750
0.500 0.500 0.500
0.250 0.250 0.250
```

No. 3
Entry from Alexandria: a relaxed PaZnGa2Ni5 crystal (PBE-GGA).

ΔE_f = -0.185 eV/atom
Space-group type = P4/mmm (123)

Cell and atoms, written as POSCAR:
```
PaZnGa2Ni5
1.0
3.846 0.000 0.000
0.000 3.846 0.000
0.000 0.000 9.055
Pa Zn Ga Ni
1 1 2 5
Direct
0.000 0.000 0.000
0.000 0.000 0.500
0.500 0.500 0.368
0.500 0.500 0.632
0.000 0.500 0.205
0.000 0.500 0.795
0.500 0.000 0.205
0.500 0.000 0.795
0.500 0.500 0.000
```